Entry 1:
Below is Tl7SbTe6 after structural relaxation, with properties calculated at the PBE level.

The space group is R3 (No. 146, hexagonal axes) and the conventional cell measures 9.3596, 9.3596 and 20.6312 Å, with angles of 90.00, 90.00 and 120.00 degrees. The distinct sites, in fractional coordinates, are Tl at (0.0000, 0.0000, 0.0000), Tl at (0.0028, 0.7697, 0.5863), Tl at (0.0684, 0.3717, 0.7753), Sb at (0.0000, 0.0000, 0.3438), Te at (0.0399, 0.6269, 0.0871) and Te at (0.0981, 0.3501, 0.9280).

The calculated volume comes out at 37.3 Å³/atom. For the density, the calculation gives 7.38 g/cm³. For the uncorrected formation energy, the calculation gives -197 meV per atom.

Entry 2:
Below is Tl2SbTe after structural relaxation, with properties calculated at the PBE level.

The space group is I-42d (No. 122) and the conventional cell measures 6.9557, 6.9557 and 14.1488 Å, with angles of 90.00, 90.00 and 90.00 degrees. The distinct sites, in fractional coordinates, are Tl at (0.2370, 0.2500, 0.1250), Sb at (0.0000, 0.0000, 0.0000) and Te at (0.0000, 0.0000, 0.5000).

The calculated volume comes out at 42.8 Å³/atom. For the density, the calculation gives 6.39 g/cm³. For the uncorrected formation energy, the calculation gives 36 meV per atom. For the distance to the lowest polymorph of the same formula, the calculation gives 0.33 eV/f.u.

Entry 3:
Below is Tl2SbTe after structural relaxation, with properties calculated at the PBE level.

The space group is P4/mmm (No. 123) and the conventional cell measures 3.2964, 3.2964 and 11.4959 Å, with angles of 90.00, 90.00 and 90.00 degrees. The distinct sites, in fractional coordinates, are Tl at (0.0000, 0.0000, 0.2391), Sb at (0.5000, 0.5000, 0.0000) and Te at (0.5000, 0.5000, 0.5000).

The calculated volume comes out at 31.2 Å³/atom. For the density, the calculation gives 8.75 g/cm³. For the uncorrected formation energy, the calculation gives -14 meV per atom. For the distance to the lowest polymorph of the same formula, the calculation gives 0.13 eV/f.u.

Entry 4:
Below is TlSb2Te after structural relaxation, with properties calculated at the PBE level.

The space group is I4/mmm (No. 139) and the conventional cell measures 4.5600, 4.5600 and 11.5211 Å, with angles of 90.00, 90.00 and 90.00 degrees. The distinct sites, in fractional coordinates, are Tl at (0.0000, 0.0000, 0.0000), Sb at (0.0000, 0.5000, 0.2500) and Te at (0.0000, 0.0000, 0.5000).

The calculated volume comes out at 29.9 Å³/atom. For the density, the calculation gives 7.98 g/cm³. For the uncorrected formation energy, the calculation gives 172 meV per atom. For the distance to the lowest polymorph of the same formula, the calculation gives 0.76 eV/f.u.

Entry 5:
Below is Tl3SbTe4 after structural relaxation, with properties calculated at the PBE level.

The space group is Pmn2_1 (No. 31) and the conventional cell measures 10.9286, 9.0660 and 6.9287 Å, with angles of 90.00, 90.00 and 90.00 degrees. The distinct sites, in fractional coordinates, are Tl at (0.0000, 0.2341, 0.0000), Tl at (0.2375, 0.8012, 0.8779), Sb at (0.0000, 0.6614, 0.2590), Te at (0.0000, 0.3928, 0.4627), Te at (0.0000, 0.5645, 0.8578) and Te at (0.2036, 0.8239, 0.3795).

The calculated volume comes out at 42.9 Å³/atom. For the density, the calculation gives 6.02 g/cm³. For the uncorrected formation energy, the calculation gives -125 meV per atom. For the distance to the lowest polymorph of the same formula, the calculation gives 0.34 eV/f.u.

Entry 6:
Below is TlSb2Te after structural relaxation, with properties calculated at the PBE level.

The space group is P4mm (No. 99) and the conventional cell measures 3.6778, 3.6778 and 9.5597 Å, with angles of 90.00, 90.00 and 90.00 degrees. The distinct sites, in fractional coordinates, are Tl at (0.0000, 0.0000, 0.0000), Sb at (0.0000, 0.0000, 0.4599), Sb at (0.5000, 0.5000, 0.2988) and Te at (0.5000, 0.5000, 0.7688).

The calculated volume comes out at 32.3 Å³/atom. For the density, the calculation gives 7.39 g/cm³. For the uncorrected formation energy, the calculation gives 113 meV per atom. For the distance to the lowest polymorph of the same formula, the calculation gives 0.52 eV/f.u.

Entry 7:
Below is Tl2SbTe after structural relaxation, with properties calculated at the PBE level.

The space group is P4mm (No. 99) and the conventional cell measures 3.3498, 3.3498 and 11.9565 Å, with angles of 90.00, 90.00 and 90.00 degrees. The distinct sites, in fractional coordinates, are Tl at (0.0000, 0.0000, 0.0000), Tl at (0.5000, 0.5000, 0.2778), Sb at (0.0000, 0.0000, 0.4816) and Te at (0.5000, 0.5000, 0.7974).

The calculated volume comes out at 33.5 Å³/atom. For the density, the calculation gives 8.15 g/cm³. For the uncorrected formation energy, the calculation gives 74 meV per atom. For the distance to the lowest polymorph of the same formula, the calculation gives 0.48 eV/f.u.

Entry 8:
Below is Tl2SbTe after structural relaxation, with properties calculated at the PBE level.

The space group is P4mm (No. 99) and the conventional cell measures 4.2022, 4.2022 and 7.3369 Å, with angles of 90.00, 90.00 and 90.00 degrees. The distinct sites, in fractional coordinates, are Tl at (0.0000, 0.0000, 0.0000), Tl at (0.5000, 0.5000, 0.2419), Sb at (0.0000, 0.0000, 0.5494) and Te at (0.5000, 0.5000, 0.6894).

The calculated volume comes out at 32.4 Å³/atom. For the density, the calculation gives 8.44 g/cm³. For the uncorrected formation energy, the calculation gives -17 meV per atom. For the distance to the lowest polymorph of the same formula, the calculation gives 0.11 eV/f.u.

Entry 9:
Below is Tl2SbTe after structural relaxation, with properties calculated at the PBE level.

The space group is Fm-3m (No. 225) and the conventional cell measures 7.8794, 7.8794 and 7.8794 Å, with angles of 90.00, 90.00 and 90.00 degrees. The distinct sites, in fractional coordinates, are Tl at (0.2500, 0.2500, 0.2500), Sb at (0.0000, 0.0000, 0.0000) and Te at (0.0000, 0.0000, 0.5000).

The calculated volume comes out at 30.6 Å³/atom. For the density, the calculation gives 8.94 g/cm³. For the uncorrected formation energy, the calculation gives 71 meV per atom. For the distance to the lowest polymorph of the same formula, the calculation gives 0.47 eV/f.u.

Entry 10:
Below is Tl2SbTe after structural relaxation, with properties calculated at the PBE level.

The space group is P2/m (No. 10) and the conventional cell measures 3.2805, 5.8432 and 6.5098 Å, with angles of 90.00, 90.79 and 90.00 degrees. The distinct sites, in fractional coordinates, are Tl at (0.1655, 0.0000, 0.2479), Sb at (0.5000, 0.5000, 0.0000) and Te at (0.5000, 0.5000, 0.5000).

The calculated volume comes out at 31.2 Å³/atom. For the density, the calculation gives 8.76 g/cm³. For the uncorrected formation energy, the calculation gives -45 meV per atom. For the distance to the lowest polymorph of the same formula, the calculation gives 0.00 eV/f.u.

Entry 11:
Below is Tl2SbTe after structural relaxation, with properties calculated at the PBE level.

The space group is R3m (No. 160, hexagonal axes) and the conventional cell measures 3.3962, 3.3962 and 37.4995 Å, with angles of 90.00, 90.00 and 120.00 degrees. The distinct sites, in fractional coordinates, are Tl at (0.0000, 0.0000, 0.0000), Tl at (0.0000, 0.0000, 0.2475), Sb at (0.0000, 0.0000, 0.7387) and Te at (0.0000, 0.0000, 0.5010).

The calculated volume comes out at 31.2 Å³/atom. For the density, the calculation gives 8.75 g/cm³. For the uncorrected formation energy, the calculation gives 157 meV per atom. For the distance to the lowest polymorph of the same formula, the calculation gives 0.81 eV/f.u.

Entry 12:
Below is Tl3SbTe4 after structural relaxation, with properties calculated at the PBE level.

The space group is Pnma (No. 62) and the conventional cell measures 9.9803, 11.9507 and 10.5023 Å, with angles of 90.00, 90.00 and 90.00 degrees. The distinct sites, in fractional coordinates, are Tl at (0.0808, 0.2500, 0.1279), Tl at (0.0898, 0.5627, 0.3138), Sb at (0.2052, 0.2500, 0.5265), Te at (0.0512, 0.7500, 0.5780), Te at (0.1415, 0.5603, 0.9695) and Te at (0.1620, 0.2500, 0.7879).

The calculated volume comes out at 39.1 Å³/atom. For the density, the calculation gives 6.60 g/cm³. For the uncorrected formation energy, the calculation gives -168 meV per atom. For the distance to the lowest polymorph of the same formula, the calculation gives 0.00 eV/f.u.

Entry 13:
Below is TlSbTe4 after structural relaxation, with properties calculated at the PBE level.

The space group is F-43m (No. 216) and the conventional cell measures 9.0957, 9.0957 and 9.0957 Å, with angles of 90.00, 90.00 and 90.00 degrees. The distinct sites, in fractional coordinates, are Tl at (0.0000, 0.0000, 0.0000), Sb at (0.2500, 0.2500, 0.7500) and Te at (0.1242, 0.1242, 0.3758).

The calculated volume comes out at 31.4 Å³/atom. For the density, the calculation gives 7.38 g/cm³. For the uncorrected formation energy, the calculation gives 337 meV per atom. For the distance to the lowest polymorph of the same formula, the calculation gives 2.23 eV/f.u.

Entry 14:
Below is TlSb4Te after structural relaxation, with properties calculated at the PBE level.

The space group is F-43m (No. 216) and the conventional cell measures 9.0066, 9.0066 and 9.0066 Å, with angles of 90.00, 90.00 and 90.00 degrees. The distinct sites, in fractional coordinates, are Tl at (0.0000, 0.0000, 0.0000), Sb at (0.1201, 0.1201, 0.6201) and Te at (0.2500, 0.2500, 0.2500).

The calculated volume comes out at 30.4 Å³/atom. For the density, the calculation gives 7.45 g/cm³. For the uncorrected formation energy, the calculation gives 205 meV per atom.

Entry 15:
Below is Tl2SbTe after structural relaxation, with properties calculated at the PBE level.

The space group is F-43m (No. 216) and the conventional cell measures 7.8903, 7.8903 and 7.8903 Å, with angles of 90.00, 90.00 and 90.00 degrees. The distinct sites, in fractional coordinates, are Tl at (0.0000, 0.0000, 0.0000), Tl at (0.2500, 0.2500, 0.2500), Sb at (0.0000, 0.0000, 0.5000) and Te at (0.2500, 0.2500, 0.7500).

The calculated volume comes out at 30.7 Å³/atom. For the density, the calculation gives 8.90 g/cm³. For the uncorrected formation energy, the calculation gives 74 meV per atom. For the distance to the lowest polymorph of the same formula, the calculation gives 0.48 eV/f.u.

Entry 16:
Below is Tl14Sb2Te9 after structural relaxation, with properties calculated at the PBE level.

The space group is P-3 (No. 147) and the conventional cell measures 10.3535, 10.3535 and 9.5204 Å, with angles of 90.00, 90.00 and 120.00 degrees. The distinct sites, in fractional coordinates, are Tl at (0.0000, 0.0000, 0.1729), Tl at (0.0189, 0.6778, 0.5487), Tl at (0.1442, 0.4583, 0.1306), Sb at (0.3333, 0.6667, 0.8022), Te at (0.0000, 0.0000, 0.5000), Te at (0.0627, 0.3574, 0.8036) and Te at (0.3333, 0.6667, 0.4742).

The calculated volume comes out at 35.4 Å³/atom. For the density, the calculation gives 7.99 g/cm³. For the uncorrected formation energy, the calculation gives -183 meV per atom.

Entry 17:
Below is TlSb2Te after structural relaxation, with properties calculated at the PBE level.

The space group is P4mm (No. 99) and the conventional cell measures 4.5597, 4.5597 and 6.1387 Å, with angles of 90.00, 90.00 and 90.00 degrees. The distinct sites, in fractional coordinates, are Tl at (0.0000, 0.0000, 0.0000), Sb at (0.0000, 0.0000, 0.4944), Sb at (0.5000, 0.5000, 0.4976) and Te at (0.5000, 0.5000, 0.9675).

The calculated volume comes out at 31.9 Å³/atom. For the density, the calculation gives 7.49 g/cm³. For the uncorrected formation energy, the calculation gives -18 meV per atom. For the distance to the lowest polymorph of the same formula, the calculation gives 0.00 eV/f.u.

Entry 18:
Below is TlSbTe4 after structural relaxation, with properties calculated at the PBE level.

The space group is P-1 (No. 2) and the conventional cell measures 7.5193, 7.6353 and 9.0605 Å, with angles of 104.97, 114.42 and 90.08 degrees. The distinct sites, in fractional coordinates, are Tl at (0.1831, 0.2504, 0.0001), Sb at (0.0000, 0.5000, 0.5000), Sb at (0.5000, 0.0000, 0.5000), Te at (0.1544, 0.8004, 0.8487), Te at (0.1630, 0.1395, 0.5956), Te at (0.3054, 0.7003, 0.1510) and Te at (0.4326, 0.6394, 0.5959).

The calculated volume comes out at 37.8 Å³/atom. For the density, the calculation gives 6.12 g/cm³. For the uncorrected formation energy, the calculation gives -35 meV per atom. For the distance to the lowest polymorph of the same formula, the calculation gives 0.00 eV/f.u.

Entry 19:
Below is Tl3SbTe after structural relaxation, with properties calculated at the PBE level.

The space group is Pm-3m (No. 221) and the conventional cell measures 5.8744, 5.8744 and 5.8744 Å, with angles of 90.00, 90.00 and 90.00 degrees. The distinct sites, in fractional coordinates, are Tl at (0.0000, 0.0000, 0.5000), Sb at (0.0000, 0.0000, 0.0000) and Te at (0.5000, 0.5000, 0.5000).

The calculated volume comes out at 40.5 Å³/atom. For the density, the calculation gives 7.07 g/cm³. For the uncorrected formation energy, the calculation gives 199 meV per atom. For the distance to the lowest polymorph of the same formula, the calculation gives 1.70 eV/f.u.

Entry 20:
Below is TlSb2Te after structural relaxation, with properties calculated at the PBE level.

The space group is Fm-3m (No. 225) and the conventional cell measures 7.7250, 7.7250 and 7.7250 Å, with angles of 90.00, 90.00 and 90.00 degrees. The distinct sites, in fractional coordinates, are Tl at (0.0000, 0.0000, 0.0000), Sb at (0.2500, 0.2500, 0.2500) and Te at (0.0000, 0.0000, 0.5000).

The calculated volume comes out at 28.8 Å³/atom. For the density, the calculation gives 8.29 g/cm³. For the uncorrected formation energy, the calculation gives 241 meV per atom. For the distance to the lowest polymorph of the same formula, the calculation gives 1.03 eV/f.u.